[1]
Density functional theory data (PBE-GGA) for CaPbS2Cl after structural relaxation.

Values from the calculation:
- crystal system = tetragonal
- formation energy without anion corrections (meV per atom) = -711
- symmetry = P4/mmm, No. 123

Cell: 5.234 5.234 5.161 Å, 90.00 90.00 90.00°
Sites, in units of the cell vectors:
1 Ca 0.000 0.000 0.000
2 Pb 0.500 0.500 0.500
3 S 0.000 0.500 0.000
4 S 0.500 0.000 0.000
5 Cl 0.000 0.000 0.500


[2]
Density functional theory data (PBE-GGA) for CaPb2SCl after structural relaxation.

Values from the calculation:
- crystal system = tetragonal
- formation energy without anion corrections (meV per atom) = -405
- symmetry = P4/mmm, No. 123

Cell: 5.607 5.607 5.366 Å, 90.00 90.00 90.00°
Sites, in units of the cell vectors:
1 Ca 0.000 0.000 0.000
2 Pb 0.000 0.500 0.500
3 Pb 0.500 0.000 0.500
4 S 0.000 0.000 0.500
5 Cl 0.500 0.500 0.000


[3]
Density functional theory data (PBE-GGA) for CaScPbCl2 after structural relaxation.

Values from the calculation:
- crystal system = tetragonal
- formation energy without anion corrections (meV per atom) = 20
- symmetry = P4/mmm, No. 123

Cell: 5.828 5.828 6.807 Å, 90.00 90.00 90.00°
Sites, in units of the cell vectors:
1 Ca 0.000 0.000 0.000
2 Sc 0.500 0.500 0.000
3 Pb 0.000 0.000 0.500
4 Cl 0.000 0.500 0.500
5 Cl 0.500 0.000 0.500


[4]
Density functional theory data (PBE-GGA) for Ca2SnPbCl8 after structural relaxation.

Values from the calculation:
- crystal system = monoclinic
- formation energy without anion corrections (meV per atom) = -1727
- symmetry = P2/m, No. 10

Cell: 6.487 8.573 6.695 Å, 90.00 90.29 90.00°
Sites, in units of the cell vectors:
1 Ca 0.000 0.249 0.000
2 Ca 0.000 0.751 0.000
3 Sn 0.500 0.000 0.500
4 Pb 0.500 0.500 0.500
5 Cl 0.214 0.500 0.161
6 Cl 0.216 0.000 0.165
7 Cl 0.266 0.246 0.677
8 Cl 0.266 0.754 0.677
9 Cl 0.734 0.246 0.323
10 Cl 0.734 0.754 0.323
11 Cl 0.784 0.000 0.835
12 Cl 0.786 0.500 0.839


- Number 3 is which compound?
  CaScPbCl2